{
  "formula": "Pr3AlSi6Pt2",
  "functional": "PBE-GGA",
  "state": "optimized geometry",
  "cell": [[5.868, 0.000, 0.000], [-2.934, 5.082, 0.000], [0.000, 0.000, 8.238]],
  "species": ["Pr", "Pr", "Pr", "Al", "Si", "Si", "Si", "Si", "Si", "Si", "Pt", "Pt"],
  "frac_coords": [[0.333, 0.667, 0.633], [0.667, 0.333, 0.367], [0.000, 0.000, 0.000], [0.000, 0.000, 0.500], [0.609, 0.805, 0.286], [0.195, 0.391, 0.286], [0.195, 0.805, 0.286], [0.805, 0.609, 0.714], [0.391, 0.195, 0.714], [0.805, 0.195, 0.714], [0.667, 0.333, 0.961], [0.333, 0.667, 0.039]],
  "total_magnetization_mub_per_fu": 0.0
}

=====

{
  "formula": "Pr2Al4SiPt3",
  "functional": "PBE-GGA",
  "state": "optimized geometry",
  "cell": [[4.321, 0.000, 0.000], [0.000, 4.321, 0.000], [0.000, 0.000, 10.372]],
  "species": ["Pr", "Pr", "Al", "Al", "Al", "Al", "Si", "Pt", "Pt", "Pt"],
  "frac_coords": [[0.500, 0.000, 0.253], [0.000, 0.500, 0.747], [0.500, 0.500, 0.000], [0.000, 0.000, 0.000], [0.500, 0.000, 0.633], [0.000, 0.500, 0.367], [0.500, 0.500, 0.500], [0.000, 0.000, 0.500], [0.500, 0.000, 0.871], [0.000, 0.500, 0.129]],
  "total_magnetization_mub_per_fu": 0.0
}

=====

{
  "formula": "Pr2AlSi4Pt3",
  "functional": "PBE-GGA",
  "state": "optimized geometry",
  "cell": [[4.226, 0.000, 0.000], [0.000, 4.226, 0.000], [0.000, 0.000, 10.220]],
  "species": ["Pr", "Pr", "Al", "Si", "Si", "Si", "Si", "Pt", "Pt", "Pt"],
  "frac_coords": [[0.500, 0.000, 0.244], [0.000, 0.500, 0.756], [0.500, 0.500, 0.500], [0.500, 0.500, 0.000], [0.000, 0.000, 0.000], [0.500, 0.000, 0.642], [0.000, 0.500, 0.358], [0.000, 0.000, 0.500], [0.500, 0.000, 0.881], [0.000, 0.500, 0.119]],
  "total_magnetization_mub_per_fu": 0.0
}

=====

{
  "formula": "Pr2Al3SiPt4",
  "functional": "PBE-GGA",
  "state": "optimized geometry",
  "cell": [[4.330, 0.000, 0.000], [0.000, 4.330, 0.000], [0.000, 0.000, 10.180]],
  "species": ["Pr", "Pr", "Al", "Al", "Al", "Si", "Pt", "Pt", "Pt", "Pt"],
  "frac_coords": [[0.500, 0.000, 0.255], [0.000, 0.500, 0.745], [0.000, 0.000, 0.500], [0.500, 0.000, 0.872], [0.000, 0.500, 0.128], [0.500, 0.500, 0.500], [0.500, 0.500, 0.000], [0.000, 0.000, 0.000], [0.500, 0.000, 0.625], [0.000, 0.500, 0.375]],
  "total_magnetization_mub_per_fu": 0.0
}

=====

| no. | calculated total energy (eV/f.u.) | formation energy (no corrections) (meV/atom) |
| --- | --- | --- |
| 1 | -67.657 | -413 |
| 2 | -57.790 | -972 |
| 3 | -63.278 | -1016 |
| 4 | -61.480 | -1111 |